1.
Entry from Alexandria: Sm8Cu2Ag after structural relaxation (GGA-PBE).

Properties
Final energy = -4.521 eV per atom
Formation energy from the elements = -85 meV per atom
Magnetization = 0.00 μB per cell

Cell lengths 18.1095, 5.1815, 6.9591 Å; angles 90.00, 107.77, 90.00 degrees
Closest atoms and distances in Å follow each position.
Space group C2/m (No. 12)
Asymmetric unit:
Sm: 0.0315 0.0000 0.2778 [4 per cell]  1 Cu 2.80
Sm: 0.0932 0.5000 0.9700 [4 per cell]  1 Ag 3.19, 2 Cu 3.26, 6 Sm 3.49-3.53
Sm: 0.1743 0.5000 0.4933 [4 per cell]  1 Cu 2.77
Sm: 0.1976 0.0000 0.8368 [4 per cell]  1 Cu 2.83
Cu: 0.1791 0.0000 0.2263 [4 per cell]  3 Sm 2.77-2.83
Ag: 0.0000 0.5000 0.5000 [2 per cell]  8 Sm 3.16-3.19

=====

2.
Entry from Alexandria: Sm4Cu2Ag after structural relaxation (GGA-PBE).

Properties
Final energy = -4.346 eV per atom
Formation energy from the elements = -72 meV per atom
Magnetization = 0.00 μB per cell

Cell lengths 5.0693, 5.0693, 24.4432 Å; angles 90.00, 90.00, 120.00 degrees
Closest atoms and distances in Å follow each position.
Space group R-3m (No. 166, hexagonal axes)
Asymmetric unit:
Sm: 0.0000 0.0000 0.1197 [6 per cell]  4 Cu 3.05-3.17, 3 Ag 3.14
Sm: 0.0000 0.0000 0.3707 [6 per cell]  4 Cu 2.97-3.14, 1 Ag 3.16
Cu: 0.0000 0.0000 0.2493 [6 per cell]  8 Sm 2.97-3.17
Ag: 0.0000 0.0000 0.5000 [3 per cell]  8 Sm 3.14-3.16

=====

3.
Entry from Alexandria: Sm6Cu2Ag after structural relaxation (GGA-PBE).

Properties
Final energy = -4.495 eV per atom
Formation energy from the elements = -122 meV per atom
Magnetization = 0.00 μB per cell

Cell lengths 9.7390, 9.8520, 10.2477 Å; angles 90.00, 90.00, 90.00 degrees
Closest atoms and distances in Å follow each position.
Space group Immm (No. 71)
Asymmetric unit:
Sm: 0.0000 0.1889 0.2468 [8 per cell]  1 Cu 2.99, 2 Ag 3.14-3.19
Sm: 0.1947 0.5000 0.1767 [8 per cell]  3 Cu 2.83-3.00
Sm: 0.2246 0.3213 0.5000 [8 per cell]  3 Cu 3.06-3.18, 1 Ag 3.21
Cu: 0.0000 0.3515 0.0000 [4 per cell]  1 Cu 2.93, 8 Sm 2.99-3.18
Cu: 0.0000 0.5000 0.3815 [4 per cell]  1 Cu 2.43
Ag: 0.0000 0.0000 0.0000 [2 per cell]  8 Sm 3.14-3.21, 2 Cu 3.46
Ag: 0.0000 0.0000 0.5000 [2 per cell]  8 Sm 3.19-3.48

=====

4.
Entry from Alexandria: Sm4Cu2Ag5 after structural relaxation (GGA-PBE).

Properties
Final energy = -3.977 eV per atom
Formation energy from the elements = -220 meV per atom
Magnetization = 0.00 μB per cell

Cell lengths 7.4310, 3.9034, 8.8221 Å; angles 90.00, 92.30, 90.00 degrees
Closest atoms and distances in Å follow each position.
Space group P2/m (No. 10)
Asymmetric unit:
Sm: 0.2034 0.0000 0.3570 [2 per cell]  2 Cu 2.95, 8 Ag 3.15-3.24
Sm: 0.2408 0.0000 0.9073 [2 per cell]  4 Cu 3.03-3.07, 6 Ag 3.17-3.25
Cu: 0.0694 0.5000 0.1281 [2 per cell]  1 Cu 2.45, 2 Ag 2.70-2.72
Ag: 0.1431 0.5000 0.6311 [2 per cell]  1 Cu 2.70, 1 Ag 2.94
Ag: 0.4350 0.5000 0.1592 [2 per cell]  1 Cu 2.72, 2 Ag 3.01-3.03
Ag: 0.5000 0.5000 0.5000 [1 per cell]  4 Ag 2.94-3.03, 4 Sm 3.17

=====

5.
Entry from Alexandria: Sm3CuAg after structural relaxation (GGA-PBE).

Properties
Final energy = -4.198 eV per atom
Formation energy from the elements = 23 meV per atom
Magnetization = 0.00 μB per cell

Cell lengths 3.8697, 9.0560, 9.0629 Å; angles 115.53, 90.00, 90.00 degrees
Closest atoms and distances in Å follow each position.
Space group P1 (No. 1)
Asymmetric unit:
Sm: 0.0000 0.0000 0.0000 [1 per cell]  2 Cu 2.89, 2 Ag 3.20-3.22
Sm: 0.0000 0.1532 0.6137 [1 per cell]  2 Cu 2.88-2.89, 2 Ag 3.20-3.22
Sm: 0.4998 0.4165 0.9662 [1 per cell]  2 Cu 2.79, 2 Ag 3.11
Sm: 0.4998 0.7344 0.6481 [1 per cell]  2 Cu 2.79, 2 Ag 3.11
Sm: 0.9947 0.3828 0.3834 [1 per cell]  2 Cu 2.88-2.89, 2 Ag 3.20-3.21
Sm: 0.9947 0.7692 0.2305 [1 per cell]  2 Cu 2.88-2.89, 2 Ag 3.20-3.21
Cu: 0.4925 0.5761 0.3070 [1 per cell]  6 Sm 2.79-2.89
Cu: 0.5008 0.0754 0.8058 [1 per cell]  6 Sm 2.79-2.89
Ag: 0.0001 0.5765 0.8081 [1 per cell]  8 Sm 3.11-3.47
Ag: 0.4972 0.0761 0.3068 [1 per cell]  8 Sm 3.20-3.22

=====

6.
Entry from Alexandria: SmCu8Ag3 after structural relaxation (GGA-PBE).

Properties
Final energy = -3.888 eV per atom
Formation energy from the elements = -51 meV per atom
Magnetization = 0.00 μB per cell

Cell lengths 5.0215, 5.0215, 24.6624 Å; angles 90.00, 90.00, 120.00 degrees
Closest atoms and distances in Å follow each position.
Space group R3m (No. 160, hexagonal axes)
Asymmetric unit:
Sm: 0.0000 0.0000 0.0000 [3 per cell]  12 Cu 2.94-2.99, 4 Ag 3.14-3.15
Cu: 0.0000 0.0000 0.1866 [3 per cell]  6 Cu 2.47
Cu: 0.0000 0.0000 0.6876 [3 per cell]  6 Cu 2.54-2.59
Cu: 0.0025 0.5013 0.4390 [9 per cell]  6 Cu 2.47-2.54
Cu: 0.1676 0.3353 0.2672 [9 per cell]  6 Cu 2.47-2.59
Ag: 0.0000 0.0000 0.3819 [3 per cell]  12 Cu 2.88-3.18, 1 Ag 2.91, 3 Sm 3.14
Ag: 0.0000 0.0000 0.5000 [3 per cell]  12 Cu 2.87-2.94, 4 Ag 2.91-3.05
Ag: 0.0000 0.0000 0.8723 [3 per cell]  12 Cu 2.85-2.94, 3 Ag 3.05, 1 Sm 3.15

=====

7.
Entry from Alexandria: SmCu10Ag after structural relaxation (GGA-PBE).

Properties
Final energy = -4.076 eV per atom
Formation energy from the elements = -32 meV per atom
Magnetization = 0.00 μB per cell

Cell lengths 4.1035, 4.9636, 8.6107 Å; angles 90.00, 90.00, 90.00 degrees
Closest atoms and distances in Å follow each position.
Space group Pmmm (No. 47)
Asymmetric unit:
Sm: 0.0000 0.0000 0.0000 [1 per cell]  18 Cu 2.95-3.23
Cu: 0.0000 0.0000 0.3444 [2 per cell]  7 Cu 2.45-2.68
Cu: 0.0000 0.5000 0.1848 [2 per cell]  6 Cu 2.47-2.60, 1 Ag 2.71
Cu: 0.5000 0.0000 0.5000 [1 per cell]  8 Cu 2.45-2.47
Cu: 0.5000 0.2486 0.2519 [4 per cell]  8 Cu 2.47-2.52
Cu: 0.5000 0.5000 0.0000 [1 per cell]  8 Cu 2.50-2.60
Ag: 0.0000 0.5000 0.5000 [1 per cell]  6 Cu 2.71-2.82

=====

8.
Entry from Alexandria: SmCu5Ag after structural relaxation (GGA-PBE).

Properties
Final energy = -4.170 eV per atom
Formation energy from the elements = -163 meV per atom
Magnetization = 0.00 μB per cell

Cell lengths 8.2456, 5.0760, 10.3987 Å; angles 90.00, 90.00, 90.00 degrees
Closest atoms and distances in Å follow each position.
Space group Pnma (No. 62)
Asymmetric unit:
Sm: 0.2431 0.2500 0.0642 [4 per cell]  12 Cu 2.94-3.22, 2 Ag 3.24-3.25
Cu: 0.0554 0.7500 0.1066 [4 per cell]  4 Cu 2.50-2.59, 1 Ag 2.64
Cu: 0.0675 0.0019 0.3133 [8 per cell]  7 Cu 2.47-2.56
Cu: 0.0878 0.2500 0.5169 [4 per cell]  5 Cu 2.47-2.53
Cu: 0.1850 0.2500 0.7462 [4 per cell]  7 Cu 2.50-2.59
Ag: 0.1384 0.7500 0.8619 [4 per cell]  8 Cu 2.64-2.83

=====

9.
Entry from Alexandria: Sm2Cu2Ag after structural relaxation (GGA-PBE).

Properties
Final energy = -4.347 eV per atom
Formation energy from the elements = -251 meV per atom
Magnetization = 0.00 μB per cell

Cell lengths 4.0514, 14.3302, 3.7574 Å; angles 90.00, 90.00, 90.00 degrees
Closest atoms and distances in Å follow each position.
Space group Cmmm (No. 65)
Asymmetric unit:
Sm: 0.0000 0.1271 0.0000 [4 per cell]  6 Cu 2.96-3.10, 4 Ag 3.31
Cu: 0.0000 0.2988 0.5000 [4 per cell]  2 Cu 2.46
Ag: 0.0000 0.5000 0.5000 [2 per cell]  2 Cu 2.88

=====

10.
Entry from Alexandria: SmCu4Ag after structural relaxation (GGA-PBE).

Properties
Final energy = -4.191 eV per atom
Formation energy from the elements = -198 meV per atom
Magnetization = 0.00 μB per cell

Cell lengths 7.2218, 7.2218, 7.2218 Å; angles 90.00, 90.00, 90.00 degrees
Closest atoms and distances in Å follow each position.
Space group F-43m (No. 216)
Asymmetric unit:
Sm: 0.0000 0.0000 0.0000 [4 per cell]  12 Cu 3.00, 4 Ag 3.13
Cu: 0.1236 0.1236 0.3764 [16 per cell]  6 Cu 2.52-2.58
Ag: 0.2500 0.2500 0.7500 [4 per cell]  12 Cu 2.99, 4 Sm 3.13

=====

11.
Entry from Alexandria: Sm3Cu2Ag after structural relaxation (GGA-PBE).

Properties
Final energy = -4.412 eV per atom
Formation energy from the elements = -212 meV per atom
Magnetization = 0.00 μB per cell

Cell lengths 3.5899, 3.5899, 10.8921 Å; angles 90.00, 90.00, 90.00 degrees
Closest atoms and distances in Å follow each position.
Space group P4/mmm (No. 123)
Asymmetric unit:
Sm: 0.0000 0.0000 0.0000 [1 per cell]  8 Cu 3.09
Sm: 0.0000 0.0000 0.3220 [2 per cell]  4 Cu 3.08, 4 Ag 3.19
Cu: 0.5000 0.5000 0.1618 [2 per cell]  8 Sm 3.08-3.09
Ag: 0.5000 0.5000 0.5000 [1 per cell]  8 Sm 3.19

=====

12.
Entry from Alexandria: SmCu4Ag8 after structural relaxation (GGA-PBE).

Properties
Final energy = -3.417 eV per atom
Formation energy from the elements = -39 meV per atom
Magnetization = 0.00 μB per cell

Cell lengths 9.3145, 9.3145, 5.1892 Å; angles 90.00, 90.00, 90.00 degrees
Closest atoms and distances in Å follow each position.
Space group I4/mmm (No. 139)
Asymmetric unit:
Sm: 0.0000 0.0000 0.0000 [2 per cell]  12 Ag 3.24-3.29, 8 Cu 3.54
Cu: 0.2500 0.2500 0.2500 [8 per cell]  2 Cu 2.59, 8 Ag 2.68-2.82
Ag: 0.0000 0.2177 0.5000 [8 per cell]  4 Cu 2.68, 6 Ag 2.86-2.99
Ag: 0.0000 0.3474 0.0000 [8 per cell]  4 Cu 2.82, 5 Ag 2.84-2.99